{
  "formula": "SrV2PbO8",
  "functional": "PBE with a Hubbard U",
  "state": "optimized geometry",
  "sg": "P-3m1 (164)",
  "total_energy_ev_per_atom": -6.83,
  "cell": [[-3.653, 3.058, 3.205], [-1.263, -1.155, -5.481], [-3.251, -5.992, 2.012]],
  "species": ["Sr", "V", "V", "Pb", "O", "O", "O", "O", "O", "O", "O", "O"],
  "frac_coords": [[0.000, 0.000, 0.500], [0.667, 0.333, 0.272], [0.333, 0.667, 0.728], [0.000, 0.000, 0.000], [0.838, 0.162, 0.203], [0.838, 0.676, 0.203], [0.324, 0.162, 0.203], [0.676, 0.838, 0.797], [0.333, 0.667, 0.495], [0.667, 0.333, 0.505], [0.162, 0.838, 0.797], [0.162, 0.324, 0.797]]
}